# Nd6Y12Tm | the Alexandria database | PBE | relaxed
# Crystal system   trigonal
# Energy of formation   118 meV/atom
# E   -5.71 eV/atom
# D(E_F)   1.604 states/eV/atom
# Total magnetization   0.000 Bohr magnetons per cell
data_Nd6Y12Tm
_chemical_formula_sum 'Nd18 Y36 Tm3'
_cell_length_a 11.1935
_cell_length_b 11.1935
_cell_length_c 17.6754
_cell_angle_alpha 90.00
_cell_angle_beta 90.00
_cell_angle_gamma 120.00
_symmetry_space_group_name_H-M 'R -3 m'
_symmetry_Int_Tables_number 166
_symmetry_space_group_name_Hall '-R 3 2"'
loop_
_atom_site_label
_atom_site_fract_x
_atom_site_fract_y
_atom_site_fract_z
Nd1 0.0713 0.5356 0.2667
Y1 0.1001 0.5500 0.9134
Y2 0.1064 0.2128 0.9083
Tm1 0.0000 0.0000 0.5000